# 1
Entry from OQMD: crystalline BeOs at its relaxed geometry (PBE).

Unit cell a=3.591 b=3.591 c=4.118 alpha=90.00 beta=90.00 gamma=120.00
Last column: magnetic moment on the atom in μB.
Element x y z (fractional)
Be (0.000, 0.000, 0.000)  -0.01
Be (0.000, 0.000, 0.500)  0.00
Os (0.667, 0.333, 0.250)  0.47
Os (0.333, 0.667, 0.750)  0.47

- Magnetization: 0.5 μB per formula unit
- Total DFT energy (no corrections): -7.1093 eV per atom
- Symmetry: P6_3/mmc



# 2
Entry from OQMD: crystalline MgAgSeO at its relaxed geometry (PBE).

Unit cell a=3.940 b=3.940 c=9.866 alpha=90.00 beta=90.00 gamma=90.00
Element x y z (fractional)
Ag (0.750, 0.750, 0.109)
Ag (0.250, 0.250, 0.891)
Mg (0.250, 0.250, 0.305)
Mg (0.750, 0.750, 0.695)
O (0.250, 0.250, 0.120)
O (0.750, 0.750, 0.880)
Se (0.750, 0.250, 0.500)
Se (0.250, 0.750, 0.500)

- Excess energy over the best structure of this formula in the dataset: 724 meV per atom
- Symmetry: P4/nmm



# 3
Entry from OQMD: crystalline NbCoSb2 at its relaxed geometry (PBE).

Unit cell a=4.789 b=4.789 c=4.789 alpha=60.00 beta=60.00 gamma=60.00
Element x y z (fractional)
Co (0.250, 0.250, 0.250)
Nb (0.500, 0.500, 0.500)
Sb (0.000, 0.000, 0.000)
Sb (0.750, 0.750, 0.750)

- Magnetization: 0.7 μB per formula unit
- Total DFT energy (no corrections): -5.8005 eV per atom
- Symmetry: F-43m



# 4
Entry from OQMD: crystalline Dy2HoNi2B2C3 at its relaxed geometry (PBE).

Unit cell a=10.467 b=10.467 c=10.467 alpha=160.32 beta=160.32 gamma=27.97
Element x y z (fractional)
B (0.196, 0.196, 0.000)
B (0.804, 0.804, 0.000)
C (0.123, 0.123, 0.000)
C (0.500, 0.500, 0.000)
C (0.877, 0.877, 0.000)
Dy (0.377, 0.377, 0.000)
Dy (0.623, 0.623, 0.000)
Ho (0.000, 0.000, 0.000)
Ni (0.750, 0.250, 0.500)
Ni (0.250, 0.750, 0.500)

- Magnetization: 0.0 μB per formula unit
- Total DFT energy (no corrections): -7.0233 eV per atom
- Symmetry: I4/mmm



# 5
Entry from OQMD: crystalline Nb4AsAuC2 at its relaxed geometry (PBE).

Unit cell a=3.279 b=3.279 c=12.832 alpha=90.00 beta=90.00 gamma=120.00
Element x y z (fractional)
As (0.000, 0.000, 0.000)
Au (0.667, 0.333, 0.500)
C (0.333, 0.667, 0.241)
C (0.333, 0.667, 0.759)
Nb (0.667, 0.333, 0.147)
Nb (0.000, 0.000, 0.327)
Nb (0.000, 0.000, 0.673)
Nb (0.667, 0.333, 0.853)

- Magnetization: 0.0 μB per formula unit
- Total DFT energy (no corrections): -8.8402 eV per atom
- Symmetry: P-6m2



# 6
Entry from OQMD: crystalline Zr at its relaxed geometry (PBE).

Unit cell a=16.769 b=3.230 c=5.178 alpha=90.00 beta=90.00 gamma=90.00
Element x y z (fractional)
Zr (0.333, 0.000, 0.000)
Zr (0.667, 0.000, 0.000)
Zr (0.999, 0.000, 0.000)
Zr (0.166, 0.500, 0.000)
Zr (0.500, 0.500, 0.000)
Zr (0.833, 0.500, 0.000)
Zr (0.111, 0.000, 0.500)
Zr (0.444, 0.000, 0.500)
Zr (0.778, 0.000, 0.500)
Zr (0.277, 0.500, 0.500)
Zr (0.611, 0.500, 0.500)
Zr (0.945, 0.500, 0.500)

- Magnetization: 0.0 μB per formula unit
- Excess energy over the best structure of this formula in the dataset: 0 meV per atom
- Symmetry: Pmmn
- DFT formation energy: 0 kJ per mole of atoms